{"formula": "TbSmGe2Pd2", "functional": "PBE-GGA", "state": "relaxed", "lattice_angstrom": [[-1.584, -2.156, 3.554], [0.309, -2.090, -3.915], [6.674, -2.146, 1.673]], "species": ["Tb", "Sm", "Ge", "Ge", "Pd", "Pd"], "fractional_positions": [[0.000, 0.000, 0.500], [0.000, 0.000, 0.000], [0.333, 0.667, 0.258], [0.667, 0.333, 0.742], [0.333, 0.667, 0.729], [0.667, 0.333, 0.271]], "e_tot_ev_per_atom": -5.7491, "ef_ev_per_atom": -0.9208}

{"formula": "PuCoB", "functional": "PBE-GGA", "state": "relaxed", "lattice_angstrom": [[-3.069, -2.353, -0.183], [0.863, -1.374, 3.185], [-2.164, 2.838, -0.195]], "species": ["B", "Co", "Pu"], "fractional_positions": [[0.167, 0.000, 0.000], [0.167, 0.667, 0.333], [0.667, 0.333, 0.667]], "relative_energy_ev_per_atom": 0.006, "e_tot_ev_per_atom": -9.5096, "ef_ev_per_atom": -0.1378}

{"formula": "NbFeCoRu2", "functional": "PBE-GGA", "state": "relaxed", "lattice_angstrom": [[4.346, 0.000, 0.000], [0.000, 4.445, 0.000], [0.000, 0.000, 4.346]], "species": ["Ru", "Ru", "Nb", "Co", "Fe"], "fractional_positions": [[0.000, 0.000, 0.500], [0.500, 0.000, 0.000], [0.000, 0.500, 0.000], [0.000, 0.000, 0.000], [0.500, 0.500, 0.500]], "e_tot_ev_per_atom": -7.4138, "ef_ev_per_atom": 1.4242}

{"formula": "Nd14MgSc", "functional": "PBE-GGA", "state": "relaxed", "lattice_angstrom": [[7.170, 0.961, 0.000], [-0.963, 7.170, 0.000], [0.000, 0.000, 10.294]], "species": ["Nd", "Nd", "Nd", "Nd", "Nd", "Nd", "Nd", "Nd", "Nd", "Nd", "Nd", "Nd", "Nd", "Nd", "Mg", "Sc"], "fractional_positions": [[0.375, 0.625, 0.500], [0.875, 0.125, 0.500], [0.874, 0.623, 0.000], [0.876, 0.626, 0.500], [0.377, 0.126, 0.000], [0.374, 0.124, 0.500], [0.623, 0.873, 0.756], [0.623, 0.873, 0.244], [0.127, 0.377, 0.756], [0.127, 0.377, 0.244], [0.126, 0.874, 0.756], [0.126, 0.874, 0.244], [0.623, 0.377, 0.755], [0.623, 0.377, 0.245], [0.875, 0.125, 0.000], [0.375, 0.625, 0.000]], "e_tot_ev_per_atom": -4.6533, "ef_ev_per_atom": 0.0140}